No. 1
The following is a DFT calculation (meta-GGA SCAN) of NaYF4 at its PBEsol-relaxed geometry.

Structure (POSCAR):
```
NaYF4
1.0
-5.537 0.484 2.140
-0.627 -6.987 -0.043
3.694 -0.390 9.579
F Na Y
24 6 6
Cartesian
-2.776 -5.085 6.535 F
-1.539 -1.616 0.697 F
-0.406 -3.660 2.246 F
-0.109 -3.444 10.667 F
-1.067 -0.115 8.131 F
0.222 -1.813 6.688 F
-1.298 -3.295 8.107 F
1.485 -3.531 8.333 F
-4.526 -1.351 2.999 F
0.789 -3.756 4.806 F
0.488 -6.991 4.771 F
-2.192 -5.142 10.205 F
-2.418 -1.606 6.433 F
-3.161 -3.441 4.612 F
0.171 -0.207 10.672 F
-1.806 -5.102 0.552 F
-0.228 -5.326 6.697 F
-3.451 -6.626 4.592 F
-1.867 -1.655 10.171 F
-0.744 -6.830 2.230 F
-0.959 -1.709 4.367 F
1.767 -0.346 8.352 F
-4.709 -4.888 2.947 F
-1.260 -5.197 4.290 F
-2.280 -0.913 2.749 Na
-3.281 -2.162 8.421 Na
1.904 -6.154 6.439 Na
-2.559 -4.426 2.548 Na
-0.172 -5.303 9.022 Na
1.059 -1.895 3.184 Na
-2.150 -3.395 11.688 Y
3.066 -7.357 9.536 Y
-0.926 0.026 5.859 Y
-4.765 -4.901 5.312 Y
-1.229 -3.453 5.829 Y
0.166 -1.818 9.053 Y
```

**Fermi-level density of states**: 0.000 states/eV/atom
**Space-group type**: Pc
**V**: 429.2 Å³/cell
**Magnetization**: 0.0071 μB/atom
**Formation energy from raw total energies**: -3988.8 meV/atom


No. 2
The following is a DFT calculation (meta-GGA SCAN) of NaYF4 at its PBEsol-relaxed geometry.

Structure (POSCAR):
```
NaYF4
1.0
-0.246 0.135 -5.938
1.372 -5.059 2.804
-6.794 -1.708 0.243
F Na Y
12 3 3
Cartesian
-2.516 -1.034 -3.787 F
-0.169 -2.087 0.662 F
0.523 -4.820 0.793 F
-5.552 -3.010 -1.286 F
-3.809 -3.025 0.799 F
0.123 -3.584 -1.713 F
-2.167 -2.089 -1.445 F
-3.526 -4.484 -1.567 F
-5.934 -1.824 -3.625 F
-1.879 -3.538 -3.575 F
-5.285 -4.392 -3.531 F
-3.125 -5.732 0.901 F
-1.691 -3.962 -0.020 Na
-1.789 -0.450 0.064 Na
-5.200 -1.307 0.186 Na
-5.077 -4.813 0.101 Y
-0.516 -1.800 -2.995 Y
-3.845 -2.637 -2.876 Y
```

**Fermi-level density of states**: 0.000 states/eV/atom
**Space-group type**: P3
**V**: 214.5 Å³/cell
**Magnetization**: 0.0001 μB/atom
**Formation energy from raw total energies**: -3988.2 meV/atom


No. 3
The following is a DFT calculation (meta-GGA SCAN) of NaYF4 at its PBEsol-relaxed geometry.

Structure (POSCAR):
```
NaYF4
1.0
-2.852 0.666 2.377
0.114 -3.592 1.143
3.579 1.358 3.913
F Na Y
4 1 1
Cartesian
1.022 -1.430 1.626 F
1.188 1.325 4.047 F
2.671 -0.804 3.430 F
-0.461 0.699 2.243 F
0.000 0.000 0.000 Na
0.420 -0.784 3.716 Y
```

**Fermi-level density of states**: 0.000 states/eV/atom
**Space-group type**: P4/mmm
**V**: 77.9 Å³/cell
**Magnetization**: 0.0000 μB/atom
**Formation energy from raw total energies**: -3967.8 meV/atom


No. 4
The following is a DFT calculation (meta-GGA SCAN) of NaYF4 at its PBEsol-relaxed geometry.

Structure (POSCAR):
```
NaYF4
1.0
5.956 -0.003 -0.002
2.969 6.217 0.003
2.968 2.258 5.797
F Y Na
12 3 3
Cartesian
4.605 1.611 0.900 F
3.749 2.215 3.678 F
7.372 3.110 4.256 F
7.460 5.162 1.426 F
9.597 4.392 5.129 F
5.002 6.677 4.761 F
2.274 0.285 0.033 F
2.080 2.602 1.586 F
7.571 5.660 4.047 F
9.568 6.319 2.221 F
5.242 4.353 3.130 F
3.886 4.199 0.735 F
8.922 6.213 0.033 Y
5.949 4.658 5.290 Y
2.977 4.222 2.904 Y
5.931 6.665 2.386 Na
8.859 7.605 3.906 Na
5.988 3.514 1.066 Na
```

**Fermi-level density of states**: 0.000 states/eV/atom
**Space-group type**: P1
**V**: 214.7 Å³/cell
**Magnetization**: 0.0003 μB/atom
**Formation energy from raw total energies**: -3989.0 meV/atom


No. 5
The following is a DFT calculation (meta-GGA SCAN) of NaZr2ZnF11 at its PBEsol-relaxed geometry.

Structure (POSCAR):
```
NaZr2ZnF11
1.0
-1.962 -1.281 -5.151
4.358 0.357 -3.592
2.361 -7.058 -2.152
F Zn Zr Na
11 1 2 1
Cartesian
0.028 -3.138 -5.366 F
0.113 -0.744 -4.639 F
2.283 -0.181 -4.104 F
3.337 -5.281 -7.980 F
2.013 -1.451 -6.635 F
2.379 -3.991 -5.448 F
4.729 -4.845 -5.530 F
3.767 -2.168 -4.443 F
0.990 -5.814 -6.452 F
2.745 -6.532 -4.261 F
1.420 -2.702 -2.916 F
1.180 -3.529 -1.076 Zn
3.017 -5.859 -6.073 Zr
1.740 -2.124 -4.823 Zr
0.000 0.000 0.000 Na
```

**Fermi-level density of states**: 0.000 states/eV/atom
**Space-group type**: C2/m
**V**: 212.9 Å³/cell
**Magnetization**: 0.0001 μB/atom
**Formation energy from raw total energies**: -3580.2 meV/atom


No. 6
The following is a DFT calculation (meta-GGA SCAN) of Na3ZrF8 at its PBEsol-relaxed geometry.

Structure (POSCAR):
```
Na3ZrF8
1.0
-4.790 -1.938 1.286
0.469 -3.689 -3.811
4.447 -0.514 4.765
F Na Zr
8 3 1
Cartesian
0.591 -4.088 2.014 F
-0.465 -2.053 0.225 F
-2.806 -5.102 -1.143 F
2.932 -1.039 3.383 F
-0.211 -4.052 -1.840 F
3.187 -3.038 1.318 F
0.337 -2.089 4.079 F
-3.061 -3.103 0.922 F
-2.161 -2.813 -1.262 Na
-1.252 -2.632 2.394 Na
1.378 -3.508 -0.154 Na
0.000 0.000 0.000 Zr
```

**Fermi-level density of states**: 0.701 states/eV/atom
**Space-group type**: I4/mmm
**V**: 151.5 Å³/cell
**Magnetization**: 0.0875 μB/atom
**Formation energy from raw total energies**: -3128.6 meV/atom


Among the records above, which one has the highest formation energy from raw total energies? Na3ZrF8


What did the third record say?
The following is a DFT calculation (meta-GGA SCAN) of NaYF4 at its PBEsol-relaxed geometry.

Structure (POSCAR):
```
NaYF4
1.0
-2.852 0.666 2.377
0.114 -3.592 1.143
3.579 1.358 3.913
F Na Y
4 1 1
Cartesian
1.022 -1.430 1.626 F
1.188 1.325 4.047 F
2.671 -0.804 3.430 F
-0.461 0.699 2.243 F
0.000 0.000 0.000 Na
0.420 -0.784 3.716 Y
```

**Fermi-level density of states**: 0.000 states/eV/atom
**Space-group type**: P4/mmm
**V**: 77.9 Å³/cell
**Magnetization**: 0.0000 μB/atom
**Formation energy from raw total energies**: -3967.8 meV/atom